Density functional theory data (PBEsol) for a relaxed ZrZn2BiN crystal.

Cell: 4.1336 4.1336 5.1572 Å, 90.00 90.00 90.00°
Closest atoms and distances in Å follow each position.
Positions (direct):
Zr  0.0000  0.0000  0.0000  4 Bi 2.92
Zn  0.0000  0.5000  0.5000  2 N 2.07
Zn  0.5000  0.0000  0.5000  2 N 2.07
Bi  0.5000  0.5000  0.0000  2 N 2.58
N  0.5000  0.5000  0.5000  4 Zn 2.07

## Properties
Calculated total energy: -4.6337 eV/atom
Size of the total moment: 0.0 μB/f.u.
Formation energy from raw total energies: 0.379 eV per atom
SG: P4/mmm (123)